1.
TlIn2BiIr | PBE | optimized geometry

Cell and atoms, written as POSCAR:
```
TlIn2BiIr
1.0
5.1870 0.0000 0.0000
0.0000 5.1870 0.0000
0.0000 0.0000 5.5196
Tl In Bi Ir
1 2 1 1
Direct
0.0000 0.0000 0.0000 Tl
0.0000 0.5000 0.5000 In
0.5000 0.0000 0.5000 In
0.5000 0.5000 0.0000 Bi
0.5000 0.5000 0.5000 Ir
```

Final energy, eV/atom: -4.03

***

2.
InBi2IrW | PBE | optimized geometry

Cell and atoms, written as POSCAR:
```
InBi2IrW
1.0
5.5112 0.0000 0.0000
0.0000 5.5112 0.0000
0.0000 0.0000 5.0050
In Bi Ir W
1 2 1 1
Direct
0.0000 0.0000 0.0000 In
0.0000 0.5000 0.5000 Bi
0.5000 0.0000 0.5000 Bi
0.5000 0.5000 0.5000 Ir
0.5000 0.5000 0.0000 W
```

Final energy, eV/atom: -5.35

***

no.,DFT formation energy (eV per atom)
1,0.0910
2,1.1143